# TaNi2Ru GGA-PBEsol relaxed
# Formation energy from the elements (eV/atom): 0.187
# Distance to the lowest polymorph of the same formula (meV per atom): 515
# V (A^3/atom): 13.13
data_TaNi2Ru
_symmetry_space_group_name_H-M 'P 1'
_symmetry_Int_Tables_number 1
_cell_length_a 8.649
_cell_length_b 8.649
_cell_length_c 8.649
_cell_angle_alpha 17.76
_cell_angle_beta 17.76
_cell_angle_gamma 17.76
loop_
_symmetry_equiv_pos_as_xyz
'x,y,z'
loop_
_atom_site_label
_atom_site_type_symbol
_atom_site_fract_x
_atom_site_fract_y
_atom_site_fract_z
Ta1 Ta 0.000 0.000 0.000
Ni1 Ni 0.247 0.247 0.247
Ni2 Ni 0.753 0.753 0.753
Ru1 Ru 0.500 0.500 0.500